(1)
The following is a DFT calculation (GGA-PBE) of a geometry-optimized La5Sb5H2 structure.

Values from the calculation:
Uncorrected energy = -124.21 eV per cell

Geometry as CIF:
```
data_La5Sb5H2
_cell_length_a 15.402
_cell_length_b 4.460
_cell_length_c 12.159
_cell_angle_alpha 90.00
_cell_angle_beta 120.51
_cell_angle_gamma 90.00
_symmetry_space_group_name_H-M 'C 1 2/m 1'
_symmetry_Int_Tables_number 12
_symmetry_space_group_name_Hall '-C 2y'
loop_
_atom_site_label
_atom_site_type_symbol
_atom_site_fract_x
_atom_site_fract_y
_atom_site_fract_z
La1 La 0.000 0.000 0.000
La2 La 0.099 0.000 0.411
La3 La 0.179 0.500 0.785
Sb1 Sb 0.000 0.500 0.500
Sb2 Sb 0.158 0.500 0.035
Sb3 Sb 0.191 0.500 0.298
H1 H 0.078 0.000 0.758
```

***

(2)
The following is a DFT calculation (GGA-PBE) of a geometry-optimized CoSn2Pt structure.

Values from the calculation:
Energy of formation = 0.137 eV/atom
ΔE to the lowest computed polymorph = 122.5 meV per atom

Geometry as CIF:
```
data_CoSn2Pt
_cell_length_a 3.1202
_cell_length_b 3.1202
_cell_length_c 27.1391
_cell_angle_alpha 90.00
_cell_angle_beta 90.00
_cell_angle_gamma 120.00
_symmetry_space_group_name_H-M 'R -3 m'
_symmetry_Int_Tables_number 166
_symmetry_space_group_name_Hall '-R 3 2"'
loop_
_atom_site_label
_atom_site_type_symbol
_atom_site_fract_x
_atom_site_fract_y
_atom_site_fract_z
Co1 Co 0.0000 0.0000 0.0000
Sn1 Sn 0.0000 0.0000 0.4037
Pt1 Pt 0.0000 0.0000 0.5000
```

***

(3)
The following is a DFT calculation (GGA-PBE) of a geometry-optimized CoPbSe2 structure.

Values from the calculation:
Formation energy without anion corrections = -0.126 eV/atom

Geometry as CIF:
```
data_CoPbSe2
_cell_length_a 3.483
_cell_length_b 5.609
_cell_length_c 9.448
_cell_angle_alpha 90.00
_cell_angle_beta 90.00
_cell_angle_gamma 90.00
_symmetry_space_group_name_H-M 'I m m m'
_symmetry_Int_Tables_number 71
_symmetry_space_group_name_Hall '-I 2 2'
loop_
_atom_site_label
_atom_site_type_symbol
_atom_site_fract_x
_atom_site_fract_y
_atom_site_fract_z
Co1 Co 0.000 0.000 0.000
Pb1 Pb 0.000 0.000 0.500
Se1 Se 0.000 0.500 0.337
```

***

(4)
The following is a DFT calculation (GGA-PBE) of a geometry-optimized CsK4Pd3F12 structure.

Values from the calculation:
Formation energy without anion corrections = -2.060 eV/atom

Geometry as CIF:
```
data_CsK4Pd3F12
_cell_length_a 9.228
_cell_length_b 9.228
_cell_length_c 9.228
_cell_angle_alpha 90.00
_cell_angle_beta 90.00
_cell_angle_gamma 90.00
_symmetry_space_group_name_H-M 'I m -3'
_symmetry_Int_Tables_number 204
_symmetry_space_group_name_Hall '-I 2 2 3'
loop_
_atom_site_label
_atom_site_type_symbol
_atom_site_fract_x
_atom_site_fract_y
_atom_site_fract_z
Cs1 Cs 0.000 0.000 0.000
K1 K 0.250 0.250 0.250
Pd1 Pd 0.000 0.000 0.500
F1 F 0.000 0.147 0.342
```

***

(5)
The following is a DFT calculation (GGA-PBE) of a geometry-optimized LiTb12Al4O3 structure.

Values from the calculation:
Formation energy without anion corrections = -0.861 eV/atom

Geometry as CIF:
```
data_LiTb12Al4O3
_cell_length_a 9.754
_cell_length_b 9.754
_cell_length_c 9.754
_cell_angle_alpha 90.00
_cell_angle_beta 90.00
_cell_angle_gamma 90.00
_symmetry_space_group_name_H-M 'I m -3 m'
_symmetry_Int_Tables_number 229
_symmetry_space_group_name_Hall '-I 4 2 3'
loop_
_atom_site_label
_atom_site_type_symbol
_atom_site_fract_x
_atom_site_fract_y
_atom_site_fract_z
Li1 Li 0.000 0.000 0.000
Tb1 Tb 0.000 0.000 0.263
Tb2 Tb 0.000 0.250 0.500
Al1 Al 0.250 0.250 0.250
O1 O 0.000 0.000 0.500
```

***

(6)
The following is a DFT calculation (GGA-PBE) of a geometry-optimized Ac2B3C structure.

Values from the calculation:
Energy of formation = 0.051 eV/atom

Geometry as CIF:
```
data_Ac2B3C
_cell_length_a 6.358
_cell_length_b 13.958
_cell_length_c 16.709
_cell_angle_alpha 90.00
_cell_angle_beta 90.00
_cell_angle_gamma 90.00
_symmetry_space_group_name_H-M 'F d d d'
_symmetry_Int_Tables_number 70
loop_
_symmetry_equiv_pos_as_xyz
'x,y,z'
'-x,-y,-z'
'-x+1/4,-y+1/4,z'
'x+1/4,y+1/4,-z'
'x,-y+1/4,-z+1/4'
'-x,y+1/4,z+1/4'
'-x+1/4,y,-z+1/4'
'x+1/4,-y,z+1/4'
'x,y+1/2,z+1/2'
'-x,-y+1/2,-z+1/2'
'-x+1/4,-y+3/4,z+1/2'
'x+1/4,y+3/4,-z+1/2'
'x,-y+3/4,-z+3/4'
'-x,y+3/4,z+3/4'
'-x+1/4,y+1/2,-z+3/4'
'x+1/4,-y+1/2,z+3/4'
'x+1/2,y,z+1/2'
'-x+1/2,-y,-z+1/2'
'-x+3/4,-y+1/4,z+1/2'
'x+3/4,y+1/4,-z+1/2'
'x+1/2,-y+1/4,-z+3/4'
'-x+1/2,y+1/4,z+3/4'
'-x+3/4,y,-z+3/4'
'x+3/4,-y,z+3/4'
'x+1/2,y+1/2,z'
'-x+1/2,-y+1/2,-z'
'-x+3/4,-y+3/4,z'
'x+3/4,y+3/4,-z'
'x+1/2,-y+3/4,-z+1/4'
'-x+1/2,y+3/4,z+1/4'
'-x+3/4,y+1/2,-z+1/4'
'x+3/4,-y+1/2,z+1/4'
loop_
_atom_site_label
_atom_site_type_symbol
_atom_site_fract_x
_atom_site_fract_y
_atom_site_fract_z
Ac1 Ac 0.125 0.125 0.021
Ac2 Ac 0.125 0.125 0.521
B1 B 0.114 0.012 0.376
B2 B 0.125 0.317 0.125
C1 C 0.125 0.309 0.625
```

***

(7)
The following is a DFT calculation (GGA-PBE) of a geometry-optimized AlHgSb structure.

Values from the calculation:
Formation energy without anion corrections = 0.134 eV/atom
ΔE to the lowest computed polymorph = 66.5 meV per atom

Geometry as CIF:
```
data_AlHgSb
_cell_length_a 4.2940
_cell_length_b 4.2940
_cell_length_c 10.7927
_cell_angle_alpha 90.00
_cell_angle_beta 90.00
_cell_angle_gamma 120.00
_symmetry_space_group_name_H-M 'P -3 m 1'
_symmetry_Int_Tables_number 164
_symmetry_space_group_name_Hall '-P 3 2"'
loop_
_atom_site_label
_atom_site_type_symbol
_atom_site_fract_x
_atom_site_fract_y
_atom_site_fract_z
Al1 Al 0.3333 0.6667 0.2761
Hg1 Hg 0.0000 0.0000 0.1353
Sb1 Sb 0.3333 0.6667 0.6160
```

***

(8)
The following is a DFT calculation (GGA-PBE) of a geometry-optimized AcCe2Cl11 structure.

Values from the calculation:
Formation energy without anion corrections = -2.007 eV/atom

Geometry as CIF:
```
data_AcCe2Cl11
_cell_length_a 10.241
_cell_length_b 12.911
_cell_length_c 13.963
_cell_angle_alpha 90.00
_cell_angle_beta 90.00
_cell_angle_gamma 90.00
_symmetry_space_group_name_H-M 'I b a m'
_symmetry_Int_Tables_number 72
_symmetry_space_group_name_Hall '-I 2 2c'
loop_
_atom_site_label
_atom_site_type_symbol
_atom_site_fract_x
_atom_site_fract_y
_atom_site_fract_z
Ac1 Ac 0.000 0.000 0.250
Ce1 Ce 0.144 0.318 0.000
Cl1 Cl 0.000 0.500 0.000
Cl2 Cl 0.099 0.187 0.144
Cl3 Cl 0.132 0.282 0.500
Cl4 Cl 0.230 0.070 0.366
```